# 1
# PBE-GGA YHoTmMg, relaxed
# - E (eV per atom) = -4.238
# - size of the total moment (μB per atom) = 0.00
# - calculated density (Mg/m³) = 6.403
# - ΔH_f (0 K) (eV per atom) = 0.04
# - relative energy among the computed polymorphs (eV/atom) = 0.066
data_YHoTmMg
_chemical_formula_sum 'Y1 Ho1 Tm1 Mg1'
_cell_length_a 5.473
_cell_length_b 5.473
_cell_length_c 5.473
_cell_angle_alpha 60.00
_cell_angle_beta 60.00
_cell_angle_gamma 60.00
_symmetry_space_group_name_H-M 'P 1'
_symmetry_Int_Tables_number 1
loop_
_symmetry_equiv_pos_as_xyz
'x,y,z'
loop_
_atom_site_label
_atom_site_type_symbol
_atom_site_fract_x
_atom_site_fract_y
_atom_site_fract_z
Y1 Y 0.000 0.000 0.000
Ho1 Ho 0.500 0.500 0.500
Tm1 Tm 0.250 0.250 0.250
Mg1 Mg 0.750 0.750 0.750

---

# 2
# PBE-GGA Y4Ho2TmMg, relaxed
# - E (eV per atom) = -5.110
# - size of the total moment (μB per atom) = 0.00
# - calculated density (Mg/m³) = 5.948
# - ΔH_f (0 K) (eV per atom) = 0.02
data_Y4Ho2TmMg
_chemical_formula_sum 'Y4 Ho2 Tm1 Mg1'
_cell_length_a 4.973
_cell_length_b 4.973
_cell_length_c 9.922
_cell_angle_alpha 90.00
_cell_angle_beta 90.00
_cell_angle_gamma 90.00
_symmetry_space_group_name_H-M 'P 1'
_symmetry_Int_Tables_number 1
loop_
_symmetry_equiv_pos_as_xyz
'x,y,z'
loop_
_atom_site_label
_atom_site_type_symbol
_atom_site_fract_x
_atom_site_fract_y
_atom_site_fract_z
Y1 Y 0.000 0.500 0.248
Y2 Y 0.000 0.500 0.752
Y3 Y 0.500 0.000 0.248
Y4 Y 0.500 0.000 0.752
Ho1 Ho 0.000 0.000 0.000
Ho2 Ho 0.500 0.500 0.500
Tm1 Tm 0.000 0.000 0.500
Mg1 Mg 0.500 0.500 0.000